[1]
Compound: Sm5PuHg6
Source: Alexandria via LeMat-Bulk
Functional: GGA-PBE
Structure: relaxed

Unit cell a=9.2654 b=9.2654 c=9.2654 alpha=146.48 beta=131.54 gamma=60.21
Positions (direct):
Sm1 0.0000 0.0000 0.0000
Sm2 0.1701 0.6701 0.5000
Sm3 0.3402 0.3402 0.0000
Sm4 0.6598 0.6598 0.0000
Sm5 0.8299 0.3299 0.5000
Pu1 0.5000 0.0000 0.5000
Hg1 0.0768 0.8318 0.2450
Hg2 0.2390 0.5000 0.7390
Hg3 0.4132 0.1682 0.2450
Hg4 0.5868 0.8318 0.7550
Hg5 0.7610 0.5000 0.2610
Hg6 0.9232 0.1682 0.7550

**Raw total energy**: -3.723 eV per atom
**Symmetry**: No. 71


[2]
Compound: SmPu2Hg4
Source: Alexandria via LeMat-Bulk
Functional: GGA-PBE
Structure: relaxed

Unit cell a=8.5890 b=8.5890 c=8.5890 alpha=145.85 beta=145.85 gamma=49.06
Positions (direct):
Sm1 0.0000 0.0000 0.0000
Pu1 0.2544 0.2544 0.0000
Pu2 0.7456 0.7456 0.0000
Hg1 0.1169 0.6169 0.5000
Hg2 0.3831 0.8831 0.5000
Hg3 0.6169 0.1169 0.5000
Hg4 0.8831 0.3831 0.5000

**Raw total energy**: -5.082 eV per atom
**Symmetry**: No. 139


[3]
Compound: SmPuHg
Source: Alexandria via LeMat-Bulk
Functional: GGA-PBE
Structure: relaxed

Unit cell a=5.2877 b=5.2877 c=3.3813 alpha=90.00 beta=90.00 gamma=120.00
Positions (direct):
Sm1 0.0000 0.0000 0.0000
Pu1 0.6667 0.3333 0.4006
Hg1 0.3333 0.6667 0.6873

**Raw total energy**: -6.470 eV per atom
**Symmetry**: No. 156